Record 1
BaNb2Te2 | GGA-PBE | optimized geometry

```
data_BaNb2Te2
_cell_length_a 4.143
_cell_length_b 4.143
_cell_length_c 15.817
_cell_angle_alpha 90.00
_cell_angle_beta 90.00
_cell_angle_gamma 90.00
_symmetry_space_group_name_H-M 'I 4/m m m'
_symmetry_Int_Tables_number 139
_symmetry_space_group_name_Hall '-I 4 2'
loop_
_atom_site_label
_atom_site_type_symbol
_atom_site_fract_x
_atom_site_fract_y
_atom_site_fract_z
Ba1 Ba 0.000 0.000 0.000
Nb1 Nb 0.000 0.500 0.250
Te1 Te 0.000 0.000 0.375
```

Summary:
**E_form (uncorrected)**: -3.0 eV per formula unit

***

Record 2
Ga8SiRh2 | GGA-PBE | optimized geometry

```
data_Ga8SiRh2
_cell_length_a 10.795
_cell_length_b 7.539
_cell_length_c 5.056
_cell_angle_alpha 90.00
_cell_angle_beta 104.54
_cell_angle_gamma 90.00
_symmetry_space_group_name_H-M 'C 1 2/m 1'
_symmetry_Int_Tables_number 12
loop_
_symmetry_equiv_pos_as_xyz
'x,y,z'
'-x,-y,-z'
'-x,y,-z'
'x,-y,z'
'x+1/2,y+1/2,z'
'-x+1/2,-y+1/2,-z'
'-x+1/2,y+1/2,-z'
'x+1/2,-y+1/2,z'
loop_
_atom_site_label
_atom_site_type_symbol
_atom_site_fract_x
_atom_site_fract_y
_atom_site_fract_z
Ga1 Ga 0.088 0.000 0.349
Ga2 Ga 0.107 0.204 0.888
Ga3 Ga 0.190 0.500 0.292
Si1 Si 0.000 0.500 0.500
Rh1 Rh 0.202 0.500 0.811
```

Summary:
**E_form (uncorrected)**: -2.1 eV per formula unit

***

Record 3
Na12Ag6Pd | GGA-PBE | optimized geometry

```
data_Na12Ag6Pd
_cell_length_a 10.8808
_cell_length_b 10.8808
_cell_length_c 13.9934
_cell_angle_alpha 90.00
_cell_angle_beta 90.00
_cell_angle_gamma 120.00
_symmetry_space_group_name_H-M 'R -3'
_symmetry_Int_Tables_number 148
_symmetry_space_group_name_Hall '-R 3'
loop_
_atom_site_label
_atom_site_type_symbol
_atom_site_fract_x
_atom_site_fract_y
_atom_site_fract_z
Na1 Na 0.0349 0.8450 0.3211
Na2 Na 0.0573 0.2204 0.9108
Ag1 Ag 0.0471 0.5973 0.1995
Pd1 Pd 0.0000 0.0000 0.5000
```

Summary:
**ΔH_f (0 K)**: -0.7 kcal/mol of atoms

***

Record 4
Cd2CuGeF | GGA-PBE | optimized geometry

```
data_Cd2CuGeF
_cell_length_a 5.287
_cell_length_b 5.287
_cell_length_c 3.713
_cell_angle_alpha 90.00
_cell_angle_beta 90.00
_cell_angle_gamma 90.00
_symmetry_space_group_name_H-M 'P 4/m m m'
_symmetry_Int_Tables_number 123
_symmetry_space_group_name_Hall '-P 4 2'
loop_
_atom_site_label
_atom_site_type_symbol
_atom_site_fract_x
_atom_site_fract_y
_atom_site_fract_z
Cd1 Cd 0.000 0.500 0.000
Cu1 Cu 0.000 0.000 0.000
Ge1 Ge 0.500 0.500 0.500
F1 F 0.000 0.000 0.500
```

Summary:
**E_form (uncorrected)**: -0.8 eV per formula unit

***

Record 5
NaSmHo2 | GGA-PBE | optimized geometry

```
data_NaSmHo2
_cell_length_a 3.560
_cell_length_b 3.560
_cell_length_c 10.469
_cell_angle_alpha 90.00
_cell_angle_beta 90.00
_cell_angle_gamma 90.00
_symmetry_space_group_name_H-M 'P 4/m m m'
_symmetry_Int_Tables_number 123
_symmetry_space_group_name_Hall '-P 4 2'
loop_
_atom_site_label
_atom_site_type_symbol
_atom_site_fract_x
_atom_site_fract_y
_atom_site_fract_z
Na1 Na 0.000 0.000 0.000
Sm1 Sm 0.000 0.000 0.500
Ho1 Ho 0.500 0.500 0.268
```

Summary:
**Energy relative to the lowest polymorph listed for this composition**: 0 meV/atom
**ΔH_f (0 K)**: 3.4 kcal/mol of atoms

***

Record 6
YMoP2 | GGA-PBE | optimized geometry

```
data_YMoP2
_cell_length_a 4.615
_cell_length_b 3.512
_cell_length_c 9.424
_cell_angle_alpha 90.00
_cell_angle_beta 90.00
_cell_angle_gamma 90.00
_symmetry_space_group_name_H-M 'A m m 2'
_symmetry_Int_Tables_number 38
loop_
_symmetry_equiv_pos_as_xyz
'x,y,z'
'-x,-y,z'
'-x,y,z'
'x,-y,z'
'x,y+1/2,z+1/2'
'-x,-y+1/2,z+1/2'
'-x,y+1/2,z+1/2'
'x,-y+1/2,z+1/2'
loop_
_atom_site_label
_atom_site_type_symbol
_atom_site_fract_x
_atom_site_fract_y
_atom_site_fract_z
Y1 Y 0.000 0.000 0.000
Mo1 Mo 0.500 0.000 0.730
P1 P 0.000 0.000 0.718
P2 P 0.500 0.000 0.423
```

Summary:
**Energy relative to the lowest polymorph listed for this composition**: 116 meV/atom
**ΔH_f (0 K)**: -15.8 kcal/mol of atoms

***

Going through the records in order, we get electronic total energy values of -6.263; -4.223; -2.037; -2.646; -3.650; -7.715 eV/atom.
Going through the records in order, we get D(E_F) values of 0.45; 0.29; 0.34; 0.31; 1.25; 0.50 states/eV per atom.